Crystalline KInCoF6 at its relaxed geometry. Source: the Alexandria database, functional PBE with a Hubbard U.

Calculated values
The spin magnetization is 3.0 μB/f.u. For the final energy, the calculation gives -4.650 eV/atom. The value obtained for the density is 4.0 Mg/m³.

Cell lengths 7.0992, 7.3962, 7.2898 Å; angles 120.48, 119.14, 90.00 degrees
Closest atoms and distances in Å follow each position.
Sites, in units of the cell vectors:
K 0.8994 0.6494 0.7988  5 F 2.77-3.07
K 0.1006 0.3506 0.2012  5 F 2.77-3.07
In 0.5000 0.5000 0.0000  6 F 2.14-2.22
In 0.5000 0.0000 0.0000  6 F 2.14-2.22
Co 0.5000 0.0000 0.5000  6 F 2.00-2.06
Co 0.0000 0.0000 0.5000  6 F 2.00-2.06
F 0.3966 0.6466 0.7932  2 In 2.14
F 0.6619 0.9119 0.3238  2 Co 2.00
F 0.8758 0.0735 0.2333  1 Co 2.06, 1 In 2.22
F 0.3575 0.6598 0.2333  1 Co 2.06, 1 In 2.22
F 0.3575 0.0735 0.2333  1 Co 2.06, 1 In 2.22
F 0.8758 0.6598 0.2333  1 Co 2.06, 1 In 2.22
F 0.6034 0.3534 0.2068  2 In 2.14
F 0.3381 0.0881 0.6762  2 Co 2.00
F 0.1242 0.9265 0.7667  1 Co 2.06, 1 In 2.22
F 0.6425 0.3402 0.7667  1 Co 2.06, 1 In 2.22
F 0.6425 0.9265 0.7667  1 Co 2.06, 1 In 2.22
F 0.1242 0.3402 0.7667  1 Co 2.06, 1 In 2.22